Record 1
VASP calculation (PBE) on a geometry-optimized AlCrCu3 structure.

It has space group Pm-3m (No. 221), with a = 4.550 Å, b = 4.550 Å, c = 4.550 Å, α = 90.00°, β = 90.00° and γ = 90.00°. The inequivalent atoms are Al at (0.000, 0.000, 0.000), Cr at (0.500, 0.500, 0.500) and Cu at (0.000, 0.500, 0.500).

The value obtained for the energy is -19.8 eV per cell. The formation energy from the elements is 1.171 eV per atom.

***

Record 2
VASP calculation (PBE) on a geometry-optimized Al3CrCu structure.

It has space group Pm-3m (No. 221), with a = 4.526 Å, b = 4.526 Å, c = 4.526 Å, α = 90.00°, β = 90.00° and γ = 90.00°. The inequivalent atoms are Al at (0.000, 0.000, 0.500), Cr at (0.500, 0.500, 0.500) and Cu at (0.000, 0.000, 0.000).

The value obtained for the energy is -22.4 eV per cell. The formation energy from the elements is 0.507 eV per atom.

***

Record 3
VASP calculation (PBE) on a geometry-optimized AlCr3Cu structure.

It has space group Pm-3m (No. 221), with a = 4.744 Å, b = 4.744 Å, c = 4.744 Å, α = 90.00°, β = 90.00° and γ = 90.00°. The inequivalent atoms are Al at (0.000, 0.000, 0.000), Cr at (0.000, 0.000, 0.500) and Cu at (0.500, 0.500, 0.500).

The value obtained for the energy is -29.3 eV per cell. The formation energy from the elements is 1.481 eV per atom.

***

Record 4
VASP calculation (PBE) on a geometry-optimized Al2CrCu structure.

It has space group Cmmm (No. 65), with a = 5.604 Å, b = 6.949 Å, c = 2.724 Å, α = 90.00°, β = 90.00° and γ = 90.00°. The inequivalent atoms are Al at (0.250, 0.250, 0.000), Cr at (0.000, 0.000, 0.500) and Cu at (0.000, 0.500, 0.500).

The value obtained for the energy is -43.4 eV per cell. The formation energy from the elements is -0.119 eV per atom.

***

Question: Among the records above, which one has the lowest energy?
Answer: Al2CrCu

***

Question: What is the formation energy from the elements in the fourth record?
Answer: -0.119 eV per atom